Entry 1:
# PBE Ce5PuSb3, optimized geometry
# ΔE_f (raw) ... -6.0 eV/f.u.
# Energy relative to the lowest polymorph listed for this composition ... 0 meV per atom
# Mass density ... 8.68 Mg/m³
data_Ce5PuSb3
_cell_length_a 9.4743
_cell_length_b 9.4743
_cell_length_c 6.4470
_cell_angle_alpha 90.00
_cell_angle_beta 90.00
_cell_angle_gamma 120.00
_space_group_name_H-M_alt 'P 63/m c m'
_space_group_IT_number 193
_space_group_name_Hall '-P 6c 2'
loop_
_atom_site_label
_atom_site_type_symbol
_atom_site_fract_x
_atom_site_fract_y
_atom_site_fract_z
_atom_site_occupancy
Ce1 Ce 0.0000 0.3073 0.2500 1
Ce2 Ce 0.3333 0.6667 0.0000 1
Pu1 Pu 0.0000 0.0000 0.0000 1
Sb1 Sb 0.0000 0.3550 0.7500 1

Entry 2:
# PBE Ce3PuSb4, optimized geometry
# ΔE_f (raw) ... -7.5 eV/f.u.
# Energy relative to the lowest polymorph listed for this composition ... 0 meV per atom
# Mass density ... 7.50 Mg/m³
data_Ce3PuSb4
_cell_length_a 6.3394
_cell_length_b 6.3394
_cell_length_c 6.3394
_cell_angle_alpha 90.00
_cell_angle_beta 90.00
_cell_angle_gamma 90.00
_space_group_name_H-M_alt 'P m -3 m'
_space_group_IT_number 221
_space_group_name_Hall '-P 4 2 3'
loop_
_atom_site_label
_atom_site_type_symbol
_atom_site_fract_x
_atom_site_fract_y
_atom_site_fract_z
_atom_site_occupancy
Ce1 Ce 0.0000 0.0000 0.5000 1
Pu1 Pu 0.5000 0.5000 0.5000 1
Sb1 Sb 0.0000 0.0000 0.0000 1
Sb2 Sb 0.0000 0.5000 0.5000 1

Entry 3:
# PBE CePuSb2, optimized geometry
# ΔE_f (raw) ... -3.3 eV/f.u.
# Energy relative to the lowest polymorph listed for this composition ... 4 meV per atom
# Mass density ... 8.29 Mg/m³
data_CePuSb2
_cell_length_a 4.4789
_cell_length_b 6.3113
_cell_length_c 8.8968
_cell_angle_alpha 90.00
_cell_angle_beta 90.00
_cell_angle_gamma 90.00
_space_group_name_H-M_alt 'P m m n'
_space_group_IT_number 59
loop_
_space_group_symop_operation_xyz
'x,y,z'
'-x,-y,-z'
'-x+1/2,-y+1/2,z'
'x+1/2,y+1/2,-z'
'x+1/2,-y,-z'
'-x+1/2,y,z'
'-x,y+1/2,-z'
'x,-y+1/2,z'
loop_
_atom_site_label
_atom_site_type_symbol
_atom_site_fract_x
_atom_site_fract_y
_atom_site_fract_z
_atom_site_occupancy
Ce1 Ce 0.2500 0.2500 0.1271 1
Pu1 Pu 0.2500 0.2500 0.6244 1
Sb1 Sb 0.2500 0.7500 0.1259 1
Sb2 Sb 0.2500 0.7500 0.6223 1

Entry 4:
# PBE Ce3PuSb2, optimized geometry
# ΔE_f (raw) ... -2.3 eV/f.u.
# Energy relative to the lowest polymorph listed for this composition ... 0 meV per atom
# Mass density ... 8.32 Mg/m³
data_Ce3PuSb2
_cell_length_a 4.0462
_cell_length_b 5.2616
_cell_length_c 17.0155
_cell_angle_alpha 90.00
_cell_angle_beta 90.00
_cell_angle_gamma 90.00
_space_group_name_H-M_alt 'I m m m'
_space_group_IT_number 71
_space_group_name_Hall '-I 2 2'
loop_
_atom_site_label
_atom_site_type_symbol
_atom_site_fract_x
_atom_site_fract_y
_atom_site_fract_z
_atom_site_occupancy
Ce1 Ce 0.0000 0.0000 0.0000 1
Ce2 Ce 0.0000 0.5000 0.1648 1
Pu1 Pu 0.0000 0.5000 0.0000 1
Sb1 Sb 0.0000 0.5000 0.3482 1

Entry 5:
# PBE Ce5PuSb5, optimized geometry
# ΔE_f (raw) ... -8.3 eV/f.u.
# Mass density ... 6.85 Mg/m³
data_Ce5PuSb5
_cell_length_a 14.1110
_cell_length_b 6.3178
_cell_length_c 8.9051
_cell_angle_alpha 90.00
_cell_angle_beta 108.46
_cell_angle_gamma 90.00
_space_group_name_H-M_alt 'C 1 2/m 1'
_space_group_IT_number 12
loop_
_space_group_symop_operation_xyz
'x,y,z'
'-x,-y,-z'
'-x,y,-z'
'x,-y,z'
'x+1/2,y+1/2,z'
'-x+1/2,-y+1/2,-z'
'-x+1/2,y+1/2,-z'
'x+1/2,-y+1/2,z'
loop_
_atom_site_label
_atom_site_type_symbol
_atom_site_fract_x
_atom_site_fract_y
_atom_site_fract_z
_atom_site_occupancy
Ce1 Ce 0.0000 0.0000 0.0000 1
Ce2 Ce 0.1660 0.5000 0.3332 1
Ce3 Ce 0.1680 0.5000 0.8328 1
Pu1 Pu 0.0000 0.0000 0.5000 1
Sb1 Sb 0.0000 0.5000 0.5000 1
Sb2 Sb 0.1661 0.0000 0.8328 1
Sb3 Sb 0.1668 0.0000 0.3340 1

Entry 6:
# PBE Ce2PuSb3, optimized geometry
# ΔE_f (raw) ... -5.4 eV/f.u.
# Energy relative to the lowest polymorph listed for this composition ... 3 meV per atom
# Mass density ... 7.77 Mg/m³
data_Ce2PuSb3
_cell_length_a 4.4885
_cell_length_b 6.3278
_cell_length_c 13.3884
_cell_angle_alpha 90.00
_cell_angle_beta 90.00
_cell_angle_gamma 90.00
_space_group_name_H-M_alt 'I m m m'
_space_group_IT_number 71
_space_group_name_Hall '-I 2 2'
loop_
_atom_site_label
_atom_site_type_symbol
_atom_site_fract_x
_atom_site_fract_y
_atom_site_fract_z
_atom_site_occupancy
Ce1 Ce 0.0000 0.0000 0.1671 1
Pu1 Pu 0.0000 0.0000 0.5000 1
Sb1 Sb 0.0000 0.5000 0.1652 1
Sb2 Sb 0.0000 0.5000 0.5000 1

Entry 7:
# PBE CePu2Sb, optimized geometry
# ΔE_f (raw) ... -1.8 eV/f.u.
# Energy relative to the lowest polymorph listed for this composition ... 0 meV per atom
# Mass density ... 11.97 Mg/m³
data_CePu2Sb
_cell_length_a 4.6794
_cell_length_b 4.6794
_cell_length_c 4.7498
_cell_angle_alpha 90.00
_cell_angle_beta 90.00
_cell_angle_gamma 90.00
_space_group_name_H-M_alt 'P 4/m m m'
_space_group_IT_number 123
_space_group_name_Hall '-P 4 2'
loop_
_atom_site_label
_atom_site_type_symbol
_atom_site_fract_x
_atom_site_fract_y
_atom_site_fract_z
_atom_site_occupancy
Ce1 Ce 0.0000 0.0000 0.0000 1
Pu1 Pu 0.0000 0.5000 0.5000 1
Sb1 Sb 0.5000 0.5000 0.0000 1

Entry 8:
# PBE CePuSb2, optimized geometry
# ΔE_f (raw) ... -3.2 eV/f.u.
# Energy relative to the lowest polymorph listed for this composition ... 39 meV per atom
# Mass density ... 8.55 Mg/m³
data_CePuSb2
_cell_length_a 4.3477
_cell_length_b 24.3256
_cell_length_c 4.6100
_cell_angle_alpha 90.00
_cell_angle_beta 90.00
_cell_angle_gamma 90.00
_space_group_name_H-M_alt 'C m c m'
_space_group_IT_number 63
_space_group_name_Hall '-C 2c 2'
loop_
_atom_site_label
_atom_site_type_symbol
_atom_site_fract_x
_atom_site_fract_y
_atom_site_fract_z
_atom_site_occupancy
Ce1 Ce 0.0000 0.1851 0.2500 1
Pu1 Pu 0.0000 0.4463 0.2500 1
Sb1 Sb 0.0000 0.0560 0.2500 1
Sb2 Sb 0.0000 0.3157 0.2500 1

Entry 9:
# PBE Ce5PuSb3, optimized geometry
# ΔE_f (raw) ... -5.2 eV/f.u.
# Energy relative to the lowest polymorph listed for this composition ... 81 meV per atom
# Mass density ... 8.48 Mg/m³
data_Ce5PuSb3
_cell_length_a 8.2331
_cell_length_b 8.2331
_cell_length_c 15.1353
_cell_angle_alpha 90.00
_cell_angle_beta 90.00
_cell_angle_gamma 90.00
_space_group_name_H-M_alt 'I 4/m c m'
_space_group_IT_number 140
_space_group_name_Hall '-I 4 2c'
loop_
_atom_site_label
_atom_site_type_symbol
_atom_site_fract_x
_atom_site_fract_y
_atom_site_fract_z
_atom_site_occupancy
Ce1 Ce 0.0000 0.0000 0.0000 1
Ce2 Ce 0.1672 0.3328 0.1447 1
Pu1 Pu 0.0000 0.5000 0.2500 1
Sb1 Sb 0.0000 0.0000 0.2500 1
Sb2 Sb 0.1390 0.3610 0.5000 1

Entry 10:
# PBE Ce6PuSb3, optimized geometry
# ΔE_f (raw) ... -4.6 eV/f.u.
# Mass density ... 8.42 Mg/m³
data_Ce6PuSb3
_cell_length_a 11.9015
_cell_length_b 16.3698
_cell_length_c 5.8719
_cell_angle_alpha 90.00
_cell_angle_beta 90.00
_cell_angle_gamma 90.00
_space_group_name_H-M_alt 'C m c 21'
_space_group_IT_number 36
loop_
_space_group_symop_operation_xyz
'x,y,z'
'-x,-y,z+1/2'
'-x,y,z'
'x,-y,z+1/2'
'x+1/2,y+1/2,z'
'-x+1/2,-y+1/2,z+1/2'
'-x+1/2,y+1/2,z'
'x+1/2,-y+1/2,z+1/2'
loop_
_atom_site_label
_atom_site_type_symbol
_atom_site_fract_x
_atom_site_fract_y
_atom_site_fract_z
_atom_site_occupancy
Ce1 Ce 0.0000 0.0679 0.0000 1
Ce2 Ce 0.0000 0.2756 0.2210 1
Ce3 Ce 0.1823 0.4630 0.3291 1
Ce4 Ce 0.2128 0.2758 0.6783 1
Pu1 Pu 0.0000 0.2138 0.8256 1
Sb1 Sb 0.0000 0.3969 0.7065 1
Sb2 Sb 0.1398 0.1018 0.4701 1

Entry 11:
# PBE Ce2PuSb, optimized geometry
# ΔE_f (raw) ... -1.5 eV/f.u.
# Energy relative to the lowest polymorph listed for this composition ... 148 meV per atom
# Mass density ... 9.94 Mg/m³
data_Ce2PuSb
_cell_length_a 7.5571
_cell_length_b 7.5571
_cell_length_c 7.5571
_cell_angle_alpha 90.00
_cell_angle_beta 90.00
_cell_angle_gamma 90.00
_space_group_name_H-M_alt 'F m -3 m'
_space_group_IT_number 225
_space_group_name_Hall '-F 4 2 3'
loop_
_atom_site_label
_atom_site_type_symbol
_atom_site_fract_x
_atom_site_fract_y
_atom_site_fract_z
_atom_site_occupancy
Ce1 Ce 0.2500 0.2500 0.2500 1
Pu1 Pu 0.0000 0.0000 0.0000 1
Sb1 Sb 0.0000 0.0000 0.5000 1

Entry 12:
# PBE CePu2Sb, optimized geometry
# ΔE_f (raw) ... -0.9 eV/f.u.
# Energy relative to the lowest polymorph listed for this composition ... 220 meV per atom
# Mass density ... 12.01 Mg/m³
data_CePu2Sb
_cell_length_a 7.4572
_cell_length_b 7.4572
_cell_length_c 7.4572
_cell_angle_alpha 90.00
_cell_angle_beta 90.00
_cell_angle_gamma 90.00
_space_group_name_H-M_alt 'F m -3 m'
_space_group_IT_number 225
_space_group_name_Hall '-F 4 2 3'
loop_
_atom_site_label
_atom_site_type_symbol
_atom_site_fract_x
_atom_site_fract_y
_atom_site_fract_z
_atom_site_occupancy
Ce1 Ce 0.0000 0.0000 0.0000 1
Pu1 Pu 0.2500 0.2500 0.2500 1
Sb1 Sb 0.0000 0.0000 0.5000 1